Record 1
HfZr2NpP4 | PBE-GGA | relaxed

Cell lengths 6.5342, 3.7701, 6.5472 Å; angles 90.00, 109.07, 90.00 degrees
Closest atoms and distances in Å follow each position.
Space group P2/m (No. 10)
One atom of each set of equivalent atoms:
Hf1 0.0000 0.0000 0.0000 (multiplicity 1)  6 P 2.65-2.66
Zr1 0.0000 0.5000 0.5000 (multiplicity 1)  6 P 2.64
Zr2 0.5000 0.0000 0.5000 (multiplicity 1)  6 P 2.68-2.69
Np1 0.5000 0.5000 0.0000 (multiplicity 1)  6 P 2.68-2.70
P1 0.2429 0.0000 0.7459 (multiplicity 2)  3 Zr 2.64-2.68, 1 Hf 2.65, 2 Np 2.70
P2 0.2449 0.5000 0.2487 (multiplicity 2)  3 Zr 2.64-2.69, 2 Hf 2.66, 1 Np 2.68

Calculated values
Energy of formation from the pure elements   -1.2383 eV/atom
Calculated total energy   -8.94 eV/atom

Record 2
Tb6Ge3SbS2 | PBE-GGA | relaxed

Cell lengths 18.1153, 4.0974, 8.3790 Å; angles 90.00, 104.07, 90.00 degrees
Closest atoms and distances in Å follow each position.
Space group C2/m (No. 12)
One atom of each set of equivalent atoms:
Tb1 0.0034 0.0000 0.2643 (multiplicity 4)  3 Ge 2.86-2.96, 1 S 2.92, 2 Sb 3.01
Tb2 0.1675 0.5000 0.5819 (multiplicity 4)  3 S 2.87-2.90, 3 Ge 2.93-2.94
Tb3 0.1729 0.5000 0.0882 (multiplicity 4)  3 Ge 2.85-2.96, 2 S 2.94, 1 Sb 3.04
Ge1 0.0000 0.5000 0.5000 (multiplicity 2)  6 Tb 2.86-2.94
Ge2 0.1648 0.0000 0.8299 (multiplicity 4)  6 Tb 2.85-2.96
Sb1 0.0000 0.5000 0.0000 (multiplicity 2)  6 Tb 3.01-3.04
S1 0.1693 0.0000 0.3374 (multiplicity 4)  6 Tb 2.87-2.94

Calculated values
E_form (uncorrected)   -1.2620 eV/atom
Calculated total energy   -5.76 eV/atom

Record 3
Ta2Be2Co | PBE-GGA | relaxed

Cell lengths 2.8742, 2.8742, 15.8594 Å; angles 90.00, 90.00, 90.00 degrees
Closest atoms and distances in Å follow each position.
Space group I4/mmm (No. 139)
One atom of each set of equivalent atoms:
Ta1 0.0000 0.0000 0.1074 (multiplicity 4)  4 Co 2.65, 4 Be 2.68, 4 Ta 2.87
Be1 0.0000 0.5000 0.2500 (multiplicity 4)  4 Be 2.03
Co1 0.0000 0.0000 0.5000 (multiplicity 2)  8 Ta 2.65, 4 Co 2.87

Calculated values
Offset from the most stable computed form   477 meV per atom
Energy of formation from the pure elements   0.2312 eV/atom
Calculated total energy   -7.42 eV/atom